Entry from the Alexandria database: a relaxed structure of Na2VCuO4 (GGA+U).

Lattice parameters (Å, degrees): 5.655 5.655 5.655 127.23 127.23 77.88
Sites, in units of the cell vectors:
Na: 0.000 0.000 0.000
Na: 0.750 0.250 0.500
V: 0.250 0.750 0.500
Cu: 0.500 0.500 0.000
O: 0.185 0.640 0.095
O: 0.360 0.455 0.545
O: 0.545 0.090 0.905
O: 0.910 0.815 0.455

final energy = -46.975 eV per formula unit
size of the total moment = 0.1 μB per formula unit
DOS at the Fermi energy = 0.000 states/eV per atom